Computed, not measured: a relaxed ScTa3V crystal at the PBE level of DFT.

CIF file:
```
data_ScTa3V
_cell_length_a 4.700
_cell_length_b 4.700
_cell_length_c 4.700
_cell_angle_alpha 90.00
_cell_angle_beta 90.00
_cell_angle_gamma 90.00
_space_group_name_H-M_alt 'P 1'
_space_group_IT_number 1
loop_
_space_group_symop_operation_xyz
'x,y,z'
loop_
_atom_site_label
_atom_site_type_symbol
_atom_site_fract_x
_atom_site_fract_y
_atom_site_fract_z
Sc1 Sc 0.000 0.000 0.000
Ta1 Ta 0.000 0.500 0.500
Ta2 Ta 0.500 0.000 0.500
Ta3 Ta 0.500 0.500 0.000
V1 V 0.500 0.500 0.500
```

Output
- magnetization (μB per cell) = 0.0
- formation energy (eV/atom) = 0.867
- energy (eV per atom) = -9.33
- space-group type = Pm-3m, No. 221